# 1
A plane-wave DFT calculation with GGA-PBE was carried out for crystalline Ac3TmRh8 at its relaxed geometry. Values from VASP.

Output
The symmetry is No. 160.

Cell and atoms, written as Quantum ESPRESSO input:
```
&SYSTEM
  ibrav = 0, nat = 12, ntyp = 3
/
ATOMIC_SPECIES
Rh 102.91 Rh.upf
Ac 227.00 Ac.upf
Tm 168.93 Tm.upf
ATOMIC_POSITIONS crystal
Rh 0.442 0.939 0.680
Rh 0.688 0.688 0.937
Rh 0.935 0.435 0.194
Rh 0.435 0.935 0.194
Rh 0.939 0.442 0.680
Rh 0.435 0.435 0.194
Rh 0.188 0.188 0.436
Rh 0.939 0.939 0.680
Ac 0.376 0.376 0.873
Ac 0.998 0.998 0.006
Ac 0.502 0.502 0.495
Tm 0.874 0.874 0.379
CELL_PARAMETERS angstrom
-4.530 -0.716 3.014
-2.616 -4.823 -0.081
2.655 -4.694 7.871
```

=====

# 2
A plane-wave DFT calculation with GGA-PBE was carried out for crystalline AcTmZnRh at its relaxed geometry. Values from VASP.

Output
The symmetry is No. 216.

Cell and atoms, written as Quantum ESPRESSO input:
```
&SYSTEM
  ibrav = 0, nat = 4, ntyp = 4
/
ATOMIC_SPECIES
Ac 227.00 Ac.upf
Tm 168.93 Tm.upf
Rh 102.91 Rh.upf
Zn 65.41 Zn.upf
ATOMIC_POSITIONS crystal
Ac 0.250 0.250 0.250
Tm 0.750 0.750 0.750
Rh 0.500 0.500 0.500
Zn 0.000 0.000 0.000
CELL_PARAMETERS angstrom
-3.631 3.401 1.309
-1.344 0.556 4.934
1.284 4.281 2.549
```

=====

# 3
A plane-wave DFT calculation with GGA-PBE was carried out for crystalline AcURh at its relaxed geometry. Values from VASP.

Output
The symmetry is No. 70.

Cell and atoms, written as Quantum ESPRESSO input:
```
&SYSTEM
  ibrav = 0, nat = 12, ntyp = 3
/
ATOMIC_SPECIES
Rh 102.91 Rh.upf
Ac 227.00 Ac.upf
U 238.03 U.upf
ATOMIC_POSITIONS crystal
Rh 0.641 0.718 0.500
Rh 0.891 0.218 0.000
Rh 0.109 0.782 0.000
Rh 0.859 0.282 0.500
Ac 0.354 0.500 0.292
Ac 0.604 0.000 0.792
Ac 0.396 0.000 0.208
Ac 0.146 0.500 0.708
U 0.925 0.500 0.150
U 0.575 0.500 0.850
U 0.825 0.000 0.350
U 0.175 0.000 0.650
CELL_PARAMETERS angstrom
-3.205 -3.296 -4.405
3.772 -4.447 -4.018
-2.842 -7.414 3.014
```

=====

# 4
A plane-wave DFT calculation with GGA-PBE was carried out for crystalline AcURh4 at its relaxed geometry. Values from VASP.

Output
For the offset from the most stable computed form, the calculation gives 0.065 eV per atom. The symmetry is No. 216.

Cell and atoms, written as Quantum ESPRESSO input:
```
&SYSTEM
  ibrav = 0, nat = 6, ntyp = 3
/
ATOMIC_SPECIES
U 238.03 U.upf
Rh 102.91 Rh.upf
Ac 227.00 Ac.upf
ATOMIC_POSITIONS crystal
U 0.250 0.250 0.250
Rh 0.624 0.624 0.128
Rh 0.624 0.128 0.624
Rh 0.128 0.624 0.624
Rh 0.624 0.624 0.624
Ac 0.000 0.000 0.000
CELL_PARAMETERS angstrom
5.419 0.000 0.000
2.709 4.693 0.000
2.709 1.564 4.424
```

=====

# 5
A plane-wave DFT calculation with GGA-PBE was carried out for crystalline AcURh4 at its relaxed geometry. Values from VASP.

Output
For the offset from the most stable computed form, the calculation gives 0.000 eV per atom. The symmetry is No. 51.

Cell and atoms, written as Quantum ESPRESSO input:
```
&SYSTEM
  ibrav = 0, nat = 12, ntyp = 3
/
ATOMIC_SPECIES
Rh 102.91 Rh.upf
U 238.03 U.upf
Ac 227.00 Ac.upf
ATOMIC_POSITIONS crystal
Rh 0.500 0.985 0.750
Rh 0.500 0.315 0.549
Rh 0.000 0.000 0.500
Rh 0.000 0.000 0.000
Rh 0.500 0.685 0.451
Rh 0.500 0.315 0.951
Rh 0.500 0.685 0.049
Rh 0.500 0.015 0.250
U 0.000 0.228 0.750
U 0.000 0.772 0.250
Ac 0.000 0.331 0.250
Ac 0.000 0.669 0.750
CELL_PARAMETERS angstrom
-3.514 -1.660 -0.991
3.509 -5.077 -3.946
0.421 -4.800 6.550
```

=====

# 6
A plane-wave DFT calculation with GGA-PBE was carried out for crystalline Ac2UZnRh6 at its relaxed geometry. Values from VASP.

Output
The symmetry is No. 2.

Cell and atoms, written as Quantum ESPRESSO input:
```
&SYSTEM
  ibrav = 0, nat = 10, ntyp = 4
/
ATOMIC_SPECIES
Rh 102.91 Rh.upf
Ac 227.00 Ac.upf
Zn 65.41 Zn.upf
U 238.03 U.upf
ATOMIC_POSITIONS crystal
Rh 0.847 0.349 0.942
Rh 0.153 0.651 0.058
Rh 0.852 0.678 0.486
Rh 0.065 0.165 0.239
Rh 0.148 0.322 0.514
Rh 0.935 0.835 0.761
Ac 0.388 0.790 0.409
Ac 0.612 0.210 0.591
Zn 0.000 0.000 0.000
U 0.500 0.500 0.000
CELL_PARAMETERS angstrom
0.057 2.515 -5.541
-6.725 -2.121 0.008
-5.142 4.532 -1.022
```

=====

no.,ΔE_f (eV per atom),total magnetization (μB per formula unit)
1,-0.5947,0.000
2,-0.4384,0.000
3,0.0548,2.677
4,-0.4287,2.072
5,-0.4934,0.000
6,-0.5039,0.000